AcPa2P2N6: optimized geometry, PBE.

Output
Magnetic moment   0.799 μB per cell
SG   No. 147
E_tot   -8.56 eV per atom

a = 6.0789 Å, b = 6.0789 Å, c = 5.8511 Å
α = 90.00°, β = 90.00°, γ = 120.00°
Last column: nearest neighbours and their distance in Å.
Element x y z (fractional)
Ac: 0.0000 0.0000 0.0000  6 N 2.66
Pa: 0.3333 0.6667 0.8562  3 N 2.26
Pa: 0.6667 0.3333 0.1438  3 N 2.26
P: 0.3333 0.6667 0.3340  3 N 1.72
P: 0.6667 0.3333 0.6660  3 N 1.72
N: 0.4202 0.3516 0.7929  1 P 1.72
N: 0.9315 0.5798 0.7929  1 P 1.72
N: 0.6484 0.0685 0.7929  1 P 1.72
N: 0.5798 0.6484 0.2071  1 P 1.72
N: 0.0685 0.4202 0.2071  1 P 1.72
N: 0.3516 0.9315 0.2071  1 P 1.72